First-principles (PBE+U) data for a relaxed structure of Na3Rh3WO8, as listed in Alexandria.

Cell lengths 6.3298, 6.2328, 6.5031 Å; angles 118.00, 90.00, 120.52 degrees
With the nearest neighbours (Å) after each atom.
Sites, in units of the cell vectors:
W 0.0000 0.0000 0.5000  6 O 2.08-2.10
O 0.2681 0.5362 0.3070  3 Rh 2.09
O 0.7346 0.9690 0.6976  1 W 2.10, 2 Rh 2.10-2.11
O 0.2654 0.0310 0.3024  1 W 2.10, 2 Rh 2.10-2.11
O 0.7319 0.4638 0.6930  3 Rh 2.09
O 0.7696 0.5392 0.3017  1 W 2.08, 2 Rh 2.12
O 0.7655 0.0310 0.3024  1 W 2.10, 2 Rh 2.10-2.11
O 0.2304 0.4608 0.6983  1 W 2.08, 2 Rh 2.12
O 0.2345 0.9690 0.6976  1 W 2.10, 2 Rh 2.10-2.11
Na 0.0000 0.5000 0.0000  6 O 2.43-2.47
Na 0.0000 0.0000 0.0000  6 O 2.45-2.46
Na 0.5000 0.5000 0.0000  6 O 2.43-2.47
Rh 0.5000 0.0000 0.5000  6 O 2.09-2.10
Rh 0.5000 0.5000 0.5000  6 O 2.09-2.12
Rh 0.0000 0.5000 0.5000  6 O 2.09-2.12

Properties
As for the space-group type: No. 12. The calculation puts the total magnetic moment at 1.96 μB per formula unit. The calculation puts the volume at 12.355 Å³/atom. For the total energy, the calculation gives -6.09 eV per atom.